VASP calculation (PBE) on NaYScIn after structural relaxation.

Output
The calculation puts the formation energy from the elements at -0.42 eV per formula unit.

The structure in POSCAR format:
```
NaYScIn
1.0
0.000 3.718 3.718
3.718 0.000 3.718
3.718 3.718 0.000
Na Y Sc In
1 1 1 1
Direct
0.000 0.000 0.000 Na
0.750 0.750 0.750 Y
0.250 0.250 0.250 Sc
0.500 0.500 0.500 In
```


VASP calculation (PBE) on NaScZnIn after structural relaxation.

Output
The calculation puts the formation energy from the elements at -0.44 eV per formula unit.

The structure in POSCAR format:
```
NaScZnIn
1.0
0.000 3.517 3.517
3.517 0.000 3.517
3.517 3.517 0.000
Na Sc Zn In
1 1 1 1
Direct
0.000 0.000 0.000 Na
0.500 0.500 0.500 Sc
0.750 0.750 0.750 Zn
0.250 0.250 0.250 In
```


VASP calculation (PBE) on NaZr2ScIn after structural relaxation.

Output
The calculation puts the formation energy from the elements at 5.15 eV per formula unit.

The structure in POSCAR format:
```
NaZr2ScIn
1.0
5.021 0.000 0.000
0.000 5.021 0.000
0.000 0.000 5.012
Na Zr Sc In
1 2 1 1
Direct
0.000 0.000 0.000 Na
0.000 0.500 0.000 Zr
0.500 0.000 0.000 Zr
0.500 0.500 0.500 Sc
0.000 0.000 0.500 In
```


VASP calculation (PBE) on Na7In3Se8 after structural relaxation.

Output
The energy relative to the elements, uncorrected comes out at -0.920 eV/atom.

The structure in POSCAR format:
```
Na7In3Se8
1.0
6.817 0.000 0.000
0.025 10.588 0.000
0.075 0.384 13.659
Na In Se
14 6 16
Direct
0.018 0.125 0.133 Na
0.026 0.357 0.378 Na
0.214 0.609 0.227 Na
0.221 0.113 0.733 Na
0.246 0.370 0.985 Na
0.275 0.857 0.482 Na
0.355 0.125 0.319 Na
0.645 0.875 0.681 Na
0.725 0.143 0.518 Na
0.754 0.630 0.015 Na
0.779 0.887 0.267 Na
0.786 0.391 0.773 Na
0.974 0.643 0.622 Na
0.982 0.875 0.867 Na
0.363 0.882 0.065 In
0.367 0.390 0.575 In
0.372 0.656 0.805 In
0.628 0.344 0.195 In
0.633 0.610 0.425 In
0.637 0.118 0.935 In
0.226 0.837 0.696 Se
0.234 0.885 0.243 Se
0.239 0.668 0.991 Se
0.244 0.426 0.756 Se
0.249 0.576 0.453 Se
0.252 0.342 0.194 Se
0.253 0.081 0.953 Se
0.254 0.169 0.523 Se
0.746 0.831 0.477 Se
0.747 0.919 0.047 Se
0.748 0.658 0.806 Se
0.751 0.424 0.547 Se
0.756 0.574 0.244 Se
0.761 0.332 0.009 Se
0.766 0.115 0.757 Se
0.774 0.163 0.304 Se
```


Copy entry 3 word for word.
VASP calculation (PBE) on NaZr2ScIn after structural relaxation.

Output
The calculation puts the formation energy from the elements at 5.15 eV per formula unit.

The structure in POSCAR format:
```
NaZr2ScIn
1.0
5.021 0.000 0.000
0.000 5.021 0.000
0.000 0.000 5.012
Na Zr Sc In
1 2 1 1
Direct
0.000 0.000 0.000 Na
0.000 0.500 0.000 Zr
0.500 0.000 0.000 Zr
0.500 0.500 0.500 Sc
0.000 0.000 0.500 In
```


Please write out number 1 again, unchanged.
VASP calculation (PBE) on NaYScIn after structural relaxation.

Output
The calculation puts the formation energy from the elements at -0.42 eV per formula unit.

The structure in POSCAR format:
```
NaYScIn
1.0
0.000 3.718 3.718
3.718 0.000 3.718
3.718 3.718 0.000
Na Y Sc In
1 1 1 1
Direct
0.000 0.000 0.000 Na
0.750 0.750 0.750 Y
0.250 0.250 0.250 Sc
0.500 0.500 0.500 In
```


Repeat the second record exactly.
VASP calculation (PBE) on NaScZnIn after structural relaxation.

Output
The calculation puts the formation energy from the elements at -0.44 eV per formula unit.

The structure in POSCAR format:
```
NaScZnIn
1.0
0.000 3.517 3.517
3.517 0.000 3.517
3.517 3.517 0.000
Na Sc Zn In
1 1 1 1
Direct
0.000 0.000 0.000 Na
0.500 0.500 0.500 Sc
0.750 0.750 0.750 Zn
0.250 0.250 0.250 In
```